Here is a relaxed ZnGaCo crystal from the Alexandria database. Energies are from PBE.

The structure in extended XYZ format:
```
6
Lattice="2.7994 0.0000 0.0000 0.0000 6.3618 0.0790 -1.3997 -1.5046 4.3803" Properties=species:S:1:pos:R:3 pbc="T T T"
Zn 0.0000 5.0204 3.2407
Zn 1.3997 -0.1632 1.2186
Ga 0.0000 1.4353 2.9655
Ga 1.3997 3.4220 1.4937
Co 1.3997 3.0953 4.1413
Co 0.0000 1.7620 0.3179
```

Values from the calculation:
Space-group type ... C2/m, No. 12
Energy ... -3.898 eV per atom
Energy of formation from the pure elements ... -96 meV/atom